1.
An optimized crystal structure of Cs3NdAs2S6, computed with PBE.

Output
- E_form (uncorrected): -0.996 eV/atom
- Space-group type: P-3m1, No. 164

Cell lengths 7.467, 7.467, 9.192 Å; angles 90.00, 90.00, 120.00 degrees
Element x y z (fractional)
Cs1 0.000 0.000 0.000
Cs2 0.333 0.667 0.647
Cs3 0.667 0.333 0.353
Nd1 0.000 0.000 0.500
As1 0.333 0.667 0.214
As2 0.667 0.333 0.786
S1 0.172 0.343 0.310
S2 0.172 0.828 0.310
S3 0.343 0.172 0.690
S4 0.657 0.828 0.310
S5 0.828 0.172 0.690
S6 0.828 0.657 0.690

***

2.
An optimized crystal structure of CsNiAs2, computed with PBE.

Output
- Formation enthalpy at 0 K: -261 meV/atom
- Space-group type: R3m, No. 160

Cell lengths 7.828, 7.828, 7.828 Å; angles 28.81, 28.81, 28.81 degrees
Element x y z (fractional)
Cs1 0.000 0.000 0.000
Ni1 0.827 0.827 0.827
As1 0.204 0.204 0.204
As2 0.454 0.454 0.454

***

3.
An optimized crystal structure of Cs2NiAs, computed with PBE.

Output
- Formation enthalpy at 0 K: -151 meV/atom
- Space-group type: I-42d, No. 122

Cell lengths 9.519, 9.519, 9.519 Å; angles 93.09, 93.09, 153.13 degrees
Element x y z (fractional)
Cs1 0.375 0.192 0.317
Cs2 0.808 0.125 0.183
Cs3 0.875 0.058 0.683
Cs4 0.942 0.625 0.817
Ni1 0.000 0.000 0.000
Ni2 0.750 0.250 0.500
As1 0.250 0.750 0.500
As2 0.500 0.500 0.000

***

4.
An optimized crystal structure of Cs2Ni4As, computed with PBE.

Output
- Formation enthalpy at 0 K: 643 meV/atom
- Space-group type: I4/mmm, No. 139

Cell lengths 9.874, 9.874, 9.874 Å; angles 153.61, 153.61, 37.67 degrees
Element x y z (fractional)
Cs1 0.160 0.160 0.000
Cs2 0.840 0.840 0.000
Ni1 0.000 0.500 0.500
Ni2 0.383 0.383 0.000
Ni3 0.500 0.000 0.500
Ni4 0.617 0.617 0.000
As1 0.500 0.500 0.000

***

5.
An optimized crystal structure of Cs2NiAs2, computed with PBE.

Output
- Formation enthalpy at 0 K: -423 meV/atom
- Space-group type: Cmcm, No. 63

Cell lengths 8.284, 8.284, 6.178 Å; angles 90.00, 90.00, 127.98 degrees
Element x y z (fractional)
Cs1 0.092 0.908 0.750
Cs2 0.292 0.708 0.250
Cs3 0.708 0.292 0.750
Cs4 0.908 0.092 0.250
Ni1 0.500 0.500 0.000
Ni2 0.500 0.500 0.500
As1 0.243 0.421 0.750
As2 0.421 0.243 0.250
As3 0.579 0.757 0.750
As4 0.757 0.579 0.250

***

6.
An optimized crystal structure of CsNi4As2, computed with PBE.

Output
- Formation enthalpy at 0 K: -248 meV/atom
- Space-group type: Cmmm, No. 65

Cell lengths 9.600, 9.600, 3.702 Å; angles 90.00, 90.00, 157.19 degrees
Element x y z (fractional)
Cs1 0.000 0.000 0.000
Ni1 0.204 0.796 0.500
Ni2 0.294 0.706 0.000
Ni3 0.706 0.294 0.000
Ni4 0.796 0.204 0.500
As1 0.368 0.632 0.500
As2 0.632 0.368 0.500

***

7.
An optimized crystal structure of CsNiAs2, computed with PBE.

Output
- Formation enthalpy at 0 K: 9 meV/atom
- Space-group type: P4/mmm, No. 123

Cell lengths 3.451, 3.451, 7.762 Å; angles 90.00, 90.00, 90.00 degrees
Element x y z (fractional)
Cs1 0.000 0.000 0.000
Ni1 0.000 0.000 0.500
As1 0.500 0.500 0.349
As2 0.500 0.500 0.651

***

8.
An optimized crystal structure of CsNi3As2, computed with PBE.

Output
- Formation enthalpy at 0 K: -319 meV/atom
- Space-group type: C2/m, No. 12

Cell lengths 7.687, 7.687, 9.163 Å; angles 110.39, 110.39, 28.65 degrees
Element x y z (fractional)
Cs1 0.146 0.146 0.052
Cs2 0.854 0.854 0.948
Ni1 0.048 0.048 0.408
Ni2 0.315 0.315 0.543
Ni3 0.421 0.421 0.384
Ni4 0.579 0.579 0.616
Ni5 0.685 0.685 0.457
Ni6 0.952 0.952 0.592
As1 0.184 0.184 0.634
As2 0.471 0.471 0.745
As3 0.529 0.529 0.255
As4 0.816 0.816 0.366

***

9.
An optimized crystal structure of CsNiAs2, computed with PBE.

Output
- Formation enthalpy at 0 K: -271 meV/atom
- Space-group type: R-3m, No. 166

Cell lengths 7.669, 7.669, 7.669 Å; angles 29.69, 29.69, 29.69 degrees
Element x y z (fractional)
Cs1 0.000 0.000 0.000
Ni1 0.500 0.500 0.500
As1 0.208 0.208 0.208
As2 0.792 0.792 0.792

***

10.
An optimized crystal structure of CsNi2As, computed with PBE.

Output
- Formation enthalpy at 0 K: -170 meV/atom
- Space-group type: R-3m, No. 166

Cell lengths 6.837, 6.837, 6.837 Å; angles 35.01, 35.01, 35.01 degrees
Element x y z (fractional)
Cs1 0.000 0.000 0.000
Ni1 0.181 0.181 0.181
Ni2 0.819 0.819 0.819
As1 0.500 0.500 0.500

***

11.
An optimized crystal structure of CsNiAs3, computed with PBE.

Output
- Formation enthalpy at 0 K: 294 meV/atom
- Space-group type: Pm-3m, No. 221

Cell lengths 4.941, 4.941, 4.941 Å; angles 90.00, 90.00, 90.00 degrees
Element x y z (fractional)
Cs1 0.000 0.000 0.000
Ni1 0.500 0.500 0.500
As1 0.000 0.500 0.500
As2 0.500 0.000 0.500
As3 0.500 0.500 0.000

***

12.
An optimized crystal structure of CsNi2As2, computed with PBE.

Output
- Formation enthalpy at 0 K: -262 meV/atom
- Space-group type: P4/mmm, No. 123

Cell lengths 3.726, 3.726, 7.987 Å; angles 90.00, 90.00, 90.00 degrees
Element x y z (fractional)
Cs1 0.000 0.000 0.000
Ni1 0.000 0.500 0.500
Ni2 0.500 0.000 0.500
As1 0.500 0.500 0.311
As2 0.500 0.500 0.689

***

13.
An optimized crystal structure of Cs2NiAs2, computed with PBE.

Output
- Formation enthalpy at 0 K: -16 meV/atom
- Space-group type: P4/mbm, No. 127

Cell lengths 6.639, 6.639, 6.161 Å; angles 90.00, 90.00, 90.00 degrees
Element x y z (fractional)
Cs1 0.179 0.321 0.000
Cs2 0.321 0.821 0.000
Cs3 0.679 0.179 0.000
Cs4 0.821 0.679 0.000
Ni1 0.000 0.000 0.500
Ni2 0.500 0.500 0.500
As1 0.141 0.641 0.500
As2 0.359 0.141 0.500
As3 0.641 0.859 0.500
As4 0.859 0.359 0.500